## MgAs2Pt (PBE)

Data for a relaxed MgAs2Pt crystal.

For the total moment, the calculation gives 0.0 Bohr magnetons per cell. For the formation energy, the calculation gives -0.28 eV per atom. For the mass density, the calculation gives 8.11 g/cm³.

abc: 2.917 3.973 6.525
angles: 90.00 90.11 90.00
Space group Pm (No. 6)
One atom of each set of equivalent atoms:
Mg1 0.000 0.000 0.000 [1 per cell]
As1 0.499 0.500 0.787 [1 per cell]
As2 0.502 0.000 0.441 [1 per cell]
Pt1 0.501 0.500 0.191 [1 per cell]